First-principles (PBE) data for a relaxed structure of NdNbOs, as listed in the Open Quantum Materials Database.

a b c (Å): 4.5692 4.5692 4.5692
angles (deg): 60.00 60.00 60.00
Last column: nearest neighbours and their distance in Å.
Positions (direct):
Os (0.7500, 0.7500, 0.7500)  4 Nb 2.80
Nd (0.2500, 0.2500, 0.2500)  4 Nb 2.80
Nb (0.0000, 0.0000, 0.0000)  4 Os 2.80, 4 Nd 2.80

Values from the calculation:
SG: F-43m
Energy of formation from the pure elements (eV per formula unit): 1.92

---

First-principles (PBE) data for a relaxed structure of NdNbPb, as listed in the Open Quantum Materials Database.

a b c (Å): 4.9991 4.9991 4.9991
angles (deg): 60.00 60.00 60.00
Last column: nearest neighbours and their distance in Å.
Positions (direct):
Nd (0.7500, 0.7500, 0.7500)  4 Pb 3.06
Pb (0.0000, 0.0000, 0.0000)  4 Nd 3.06, 4 Nb 3.06
Nb (0.2500, 0.2500, 0.2500)  4 Pb 3.06

Values from the calculation:
SG: F-43m

---

First-principles (PBE) data for a relaxed structure of PmNdNb, as listed in the Open Quantum Materials Database.

a b c (Å): 5.1444 5.1444 5.1444
angles (deg): 60.00 60.00 60.00
Last column: nearest neighbours and their distance in Å.
Positions (direct):
Nd (0.2500, 0.2500, 0.2500)  4 Nb 3.15
Pm (0.7500, 0.7500, 0.7500)  4 Nb 3.15
Nb (0.0000, 0.0000, 0.0000)  4 Nd 3.15, 4 Pm 3.15

Values from the calculation:
SG: F-43m
Energy of formation from the pure elements (eV per formula unit): 2.41

---

First-principles (PBE) data for a relaxed structure of NdNbPt, as listed in the Open Quantum Materials Database.

a b c (Å): 4.7215 4.7215 4.7215
angles (deg): 60.00 60.00 60.00
Last column: nearest neighbours and their distance in Å.
Positions (direct):
Nb (0.2500, 0.2500, 0.2500)  4 Pt 2.89
Pt (0.0000, 0.0000, 0.0000)  4 Nb 2.89, 4 Nd 2.89
Nd (0.7500, 0.7500, 0.7500)  4 Pt 2.89

Values from the calculation:
SG: F-43m
Energy of formation from the pure elements (eV per formula unit): 0.01

---

| no. | energy above the most stable polymorph in this dataset (eV/atom) |
| --- | --- |
| 1 | 0.0000 |
| 2 | 0.0000 |
| 3 | 0.0000 |
| 4 | 0.0000 |